Record 1
Co2OsBr: relaxed, PBE-GGA.

The space group is Fm-3m (No. 225) and the conventional cell measures 6.121, 6.121 and 6.121 Å, with angles of 90.00, 90.00 and 90.00 degrees. The distinct sites, in fractional coordinates, are Co at (0.250, 0.250, 0.250), Os at (0.000, 0.000, 0.000) and Br at (0.000, 0.000, 0.500).

As for the polymorph energy (0 for the lowest one): 0.6647 eV/atom. The total magnetization is 4.47 μB per formula unit.


Record 2
CoOs2Br: relaxed, PBE-GGA.

The space group is Cmmm (No. 65) and the conventional cell measures 5.817, 6.979 and 2.836 Å, with angles of 90.00, 90.00 and 90.00 degrees. The distinct sites, in fractional coordinates, are Co at (0.000, 0.000, 0.000), Os at (0.250, 0.250, 0.500) and Br at (0.000, 0.500, 0.000).

As for the polymorph energy (0 for the lowest one): 0.6243 eV/atom. The total magnetization is 1.24 μB per formula unit.


Record 3
Co2OsBr: relaxed, PBE-GGA.

The space group is Pmmm (No. 47) and the conventional cell measures 2.911, 4.329 and 4.480 Å, with angles of 90.00, 90.00 and 90.00 degrees. The distinct sites, in fractional coordinates, are Co at (0.000, 0.000, 0.000), Co at (0.500, 0.000, 0.500), Os at (0.000, 0.500, 0.500) and Br at (0.500, 0.500, 0.000).

As for the polymorph energy (0 for the lowest one): 0.4890 eV/atom. The total magnetization is 4.34 μB per formula unit.


Record 4
CoOs2Br: relaxed, PBE-GGA.

The space group is R-3m (No. 166, hexagonal axes) and the conventional cell measures 2.6857, 2.6857 and 36.9692 Å, with angles of 90.00, 90.00 and 120.00 degrees. The distinct sites, in fractional coordinates, are Co at (0.0000, 0.0000, 0.0000), Os at (0.0000, 0.0000, 0.2789) and Br at (0.0000, 0.0000, 0.5000).

As for the polymorph energy (0 for the lowest one): 0.1305 eV/atom. The total magnetization is 0.91 μB per formula unit.


Record 5
CoOsBr2: relaxed, PBE-GGA.

The space group is Pmmm (No. 47) and the conventional cell measures 3.070, 4.159 and 6.042 Å, with angles of 90.00, 90.00 and 90.00 degrees. The distinct sites, in fractional coordinates, are Co at (0.000, 0.000, 0.000), Os at (0.500, 0.000, 0.500), Br at (0.000, 0.500, 0.500) and Br at (0.500, 0.500, 0.000).

As for the polymorph energy (0 for the lowest one): 0.8134 eV/atom. The total magnetization is 3.69 μB per formula unit.


Record 6
Pm8Co3OsBr4: relaxed, PBE-GGA.

The space group is C2/m (No. 12) and the conventional cell measures 13.830, 7.971 and 9.072 Å, with angles of 90.00, 120.63 and 90.00 degrees. The distinct sites, in fractional coordinates, are Pm at (0.019, 0.247, 0.304), Pm at (0.230, 0.000, 0.689), Pm at (0.234, 0.500, 0.696), Co at (0.000, 0.000, 0.500), Co at (0.250, 0.250, 0.500), Os at (0.000, 0.500, 0.500), Br at (0.000, 0.000, 0.000), Br at (0.000, 0.500, 0.000) and Br at (0.250, 0.250, 0.000).

The total magnetization is 0.00 μB per formula unit.


Record 7
Pm4CoOsBr2: relaxed, PBE-GGA.

The space group is P2/m (No. 10) and the conventional cell measures 6.955, 4.030 and 8.155 Å, with angles of 90.00, 106.52 and 90.00 degrees. The distinct sites, in fractional coordinates, are Pm at (0.228, 0.000, 0.194), Pm at (0.265, 0.500, 0.802), Co at (0.000, 0.500, 0.000), Os at (0.500, 0.000, 0.000), Br at (0.000, 0.000, 0.500) and Br at (0.500, 0.500, 0.500).

The total magnetization is 0.00 μB per formula unit.


Record 8
Pr8CoOs3Br4: relaxed, PBE-GGA.

The space group is C2/m (No. 12) and the conventional cell measures 14.313, 8.252 and 9.221 Å, with angles of 90.00, 121.22 and 90.00 degrees. The distinct sites, in fractional coordinates, are Pr at (0.017, 0.249, 0.304), Pr at (0.231, 0.000, 0.696), Pr at (0.233, 0.500, 0.699), Co at (0.000, 0.000, 0.500), Os at (0.000, 0.500, 0.500), Os at (0.250, 0.250, 0.500), Br at (0.000, 0.000, 0.000), Br at (0.000, 0.500, 0.000) and Br at (0.250, 0.250, 0.000).

The total magnetization is 0.00 μB per formula unit.


Record 9
CoReOsBr2: relaxed, PBE-GGA.

The space group is P4/mmm (No. 123) and the conventional cell measures 4.912, 4.912 and 4.657 Å, with angles of 90.00, 90.00 and 90.00 degrees. The distinct sites, in fractional coordinates, are Co at (0.000, 0.000, 0.000), Re at (0.000, 0.000, 0.500), Os at (0.500, 0.500, 0.000) and Br at (0.000, 0.500, 0.500).

The total magnetization is 4.11 μB per formula unit.


Record 10
CoSbOsBr2: relaxed, PBE-GGA.

The space group is P4/mmm (No. 123) and the conventional cell measures 5.075, 5.075 and 5.202 Å, with angles of 90.00, 90.00 and 90.00 degrees. The distinct sites, in fractional coordinates, are Co at (0.000, 0.000, 0.000), Sb at (0.500, 0.500, 0.000), Os at (0.500, 0.500, 0.500) and Br at (0.000, 0.500, 0.500).

The total magnetization is 3.25 μB per formula unit.


Record 11
Sm8CoOs3Br4: relaxed, PBE-GGA.

The space group is C2/m (No. 12) and the conventional cell measures 14.028, 8.087 and 9.068 Å, with angles of 90.00, 121.12 and 90.00 degrees. The distinct sites, in fractional coordinates, are Sm at (0.018, 0.248, 0.305), Sm at (0.230, 0.000, 0.695), Sm at (0.233, 0.500, 0.699), Co at (0.000, 0.000, 0.500), Os at (0.000, 0.500, 0.500), Os at (0.250, 0.250, 0.500), Br at (0.000, 0.000, 0.000), Br at (0.000, 0.500, 0.000) and Br at (0.250, 0.250, 0.000).

The total magnetization is 0.00 μB per formula unit.


Record 12
Sm8Co3OsBr4: relaxed, PBE-GGA.

The space group is C2/m (No. 12) and the conventional cell measures 13.754, 7.929 and 9.032 Å, with angles of 90.00, 120.59 and 90.00 degrees. The distinct sites, in fractional coordinates, are Sm at (0.019, 0.247, 0.304), Sm at (0.230, 0.000, 0.689), Sm at (0.234, 0.500, 0.695), Co at (0.000, 0.000, 0.500), Co at (0.250, 0.250, 0.500), Os at (0.000, 0.500, 0.500), Br at (0.000, 0.000, 0.000), Br at (0.000, 0.500, 0.000) and Br at (0.250, 0.250, 0.000).

The total magnetization is 0.00 μB per formula unit.


For each record above, in turn, the calculated ΔE_f (raw) values are 475 515 407 325 484 -1100 -529 -988 1041 569 -1010 -1100 kJ/mol of formula units.